VASP calculation (PBE-GGA) on a relaxed structure of LiNb2Se3.

Lattice parameters (Å, degrees): 20.6210 3.6898 7.2130 90.00 90.35 90.00
Last column: nearest neighbours and their distance in Å.
Space group C2/m (No. 12)
Unique sites:
Li  0.1023  0.0000  0.3318 x4  5 Se 2.58-2.72
Nb  0.0893  0.5000  0.9437 x4  4 Se 2.55-2.63
Nb  0.1984  0.0000  0.9690 x4  4 Se 2.54-2.68
Se  0.0212  0.5000  0.2381 x4  2 Nb 2.55-2.62, 2 Li 2.58
Se  0.1193  0.0000  0.6985 x4  3 Nb 2.54-2.63, 1 Li 2.67
Se  0.1917  0.5000  0.2259 x4  4 Nb 2.62-2.92, 2 Li 2.72

Values from the calculation:
Formation energy (no corrections) (eV per atom): -0.758
Fermi-level density of states (states/eV per atom): 0.39